Material: Pm8BS3Br4
Method: DFT, PBE-GGA
State: relaxed

Summary:
- Crystal system: trigonal
- Final energy: -5.4192 eV per atom

a = 8.1131 Å, b = 8.1131 Å, c = 21.6725 Å
α = 90.00°, β = 90.00°, γ = 120.00°
Space group R-3m (No. 166, hexagonal axes)
One atom of each set of equivalent atoms:
1 Pm 0.0000 0.0000 0.2318 x6
2 Pm 0.0174 0.5087 0.2316 x18
3 B 0.0000 0.0000 0.5000 x3
4 S 0.0000 0.5000 0.5000 x9
5 Br 0.0000 0.0000 0.0000 x3
6 Br 0.0000 0.5000 0.0000 x9